1.
La2ErTh: optimized geometry, PBE.

The structure in extended XYZ format:
```
4
Lattice="3.630 0.000 0.000 0.000 3.630 0.000 0.000 0.000 10.310" Properties=species:S:1:pos:R:3 pbc="T T T"
Er 1.815 1.815 0.000
La 0.000 0.000 2.647
Th 1.815 1.815 5.155
La 0.000 0.000 7.663
```

Properties
size of the total moment: 0.00 μB per formula unit
space group: P4/mmm
E_form: 20 kJ/mol of formula units
ΔE to the lowest computed polymorph: 29 meV per atom

2.
La3ErTh2: optimized geometry, PBE.

The structure in extended XYZ format:
```
12
Lattice="-1.077 3.262 1.177 4.162 -1.956 9.227 9.388 4.324 -3.389" Properties=species:S:1:pos:R:3 pbc="T T T"
Th 5.243 1.881 2.386
La 7.219 0.915 6.872
La 1.993 0.473 3.312
La 8.355 3.327 1.230
Th 4.198 -0.565 8.208
Er 10.399 2.340 5.832
La 5.254 4.716 0.144
Th 8.275 6.196 -1.192
La 10.480 5.157 3.704
La 4.117 2.304 5.786
Th 7.230 3.749 4.629
Er 2.073 3.290 1.183
```

Properties
size of the total moment: 0.00 μB per formula unit
space group: P2_1/m
E_form: 24 kJ/mol of formula units
ΔE to the lowest computed polymorph: 0 meV per atom

3.
La2Er4Th: optimized geometry, PBE.

The structure in extended XYZ format:
```
7
Lattice="3.599 0.000 0.000 -1.799 3.114 -0.263 0.000 -0.366 20.424" Properties=species:S:1:pos:R:3 pbc="T T T"
La 1.799 0.736 1.848
Er 1.799 -0.152 16.525
La 1.799 1.203 7.702
Er 0.000 2.498 10.551
Th 1.799 1.659 13.491
Er 0.000 -0.088 4.904
Er 1.799 2.151 19.104
```

Properties
size of the total moment: 0.00 μB per formula unit
space group: Cm
E_form: 23 kJ/mol of formula units
ΔE to the lowest computed polymorph: 0 meV per atom

Across the entries above, mass density takes the values 8.278, 8.547, 8.566 g/cm³, respectively.